Record 1
Compound: Ac4Tl3H2
Source: Alexandria
Functional: PBE
Structure: optimized geometry

Computed properties:
space group: C2/m (12)
electronic total energy: -33.47 eV per formula unit

Unit cell a=5.102 b=6.674 c=9.658 alpha=115.78 beta=90.00 gamma=112.47
Positions (direct):
Ac1 0.298 0.595 0.881
Ac2 0.702 0.405 0.119
H1 0.318 0.636 0.631
Ac3 0.893 0.786 0.605
H2 0.682 0.364 0.369
Tl1 0.000 0.000 0.000
Tl2 0.383 0.766 0.328
Tl3 0.617 0.234 0.672
Ac4 0.107 0.214 0.395

***

Record 2
Compound: Ac2Tl2H
Source: Alexandria
Functional: PBE
Structure: optimized geometry

Computed properties:
space group: Cmc2_1 (36)
electronic total energy: -17.56 eV per formula unit

Unit cell a=5.029 b=6.952 c=9.331 alpha=90.00 beta=105.63 gamma=90.00
Positions (direct):
Tl1 0.983 0.676 0.966
Ac1 0.164 0.491 0.329
Ac2 0.418 0.394 0.837
Tl2 0.200 0.010 0.401
H1 0.634 0.564 0.267
Tl3 0.017 0.176 0.034
Ac3 0.836 0.991 0.671
Tl4 0.800 0.510 0.599
H2 0.366 0.064 0.733
Ac4 0.582 0.894 0.163

***

Record 3
Compound: Ac2TlH
Source: Alexandria
Functional: PBE
Structure: optimized geometry

Computed properties:
energy above the most stable polymorph in this dataset: 323 meV/atom
space group: P4/mmm (123)

Unit cell a=3.760 b=3.760 c=8.106 alpha=90.00 beta=90.00 gamma=90.00
Positions (direct):
Ac1 0.000 0.000 0.224
H1 0.500 0.500 0.000
Tl1 0.500 0.500 0.500
Ac2 0.000 0.000 0.776

***

Record 4
Compound: Ac2Y4Tl3H2
Source: Alexandria
Functional: PBE
Structure: optimized geometry

Computed properties:
space group: I4/mmm (139)
electronic total energy: -51.56 eV per formula unit

Unit cell a=4.898 b=4.898 c=13.196 alpha=100.70 beta=100.70 gamma=90.00
Each line ends with the local moment (μB).
Positions (direct):
H1 0.593 0.593 0.186  0.00
Y1 0.921 0.421 0.842  0.03
Y2 0.079 0.579 0.158  0.03
H2 0.407 0.407 0.814  0.00
Ac1 0.303 0.303 0.606  0.06
Tl1 0.837 0.837 0.673  0.00
Y3 0.421 0.921 0.842  0.03
Ac2 0.697 0.697 0.394  0.06
Y4 0.579 0.079 0.158  0.03
Tl2 0.163 0.163 0.327  0.00
Tl3 0.000 0.000 0.000  0.00

***

Record 5
Compound: Ac5Tm3H12
Source: Alexandria
Functional: PBE
Structure: optimized geometry

Computed properties:
space group: Ia-3d (230)
electronic total energy: -80.80 eV per formula unit

Unit cell a=12.147 b=12.147 c=12.147 alpha=109.47 beta=109.47 gamma=109.47
Positions (direct):
Tm1 0.625 0.250 0.375
H1 0.421 0.770 0.826
H2 0.095 0.151 0.421
Ac1 0.500 0.500 0.500
Ac2 0.625 0.750 0.875
H3 0.674 0.079 0.230
Ac3 0.000 0.000 0.500
H4 0.556 0.826 0.405
Ac4 0.875 0.625 0.750
Ac5 0.625 0.875 0.250
H5 0.270 0.444 0.849
H6 0.674 0.595 0.944
H7 0.770 0.349 0.944
Tm2 0.625 0.375 0.750
H8 0.651 0.421 0.595
Tm3 0.375 0.625 0.250
Ac6 0.250 0.375 0.625
H9 0.405 0.326 0.556
H10 0.079 0.674 0.730
H11 0.079 0.405 0.849
H12 0.095 0.944 0.174
H13 0.944 0.849 0.770
Ac7 0.500 0.000 0.000
H14 0.556 0.730 0.651
H15 0.905 0.849 0.579
H16 0.826 0.556 0.905
H17 0.326 0.405 0.056
H18 0.349 0.770 0.444
H19 0.849 0.944 0.270
H20 0.651 0.230 0.556
H21 0.579 0.349 0.905
H22 0.230 0.579 0.674
H23 0.730 0.174 0.079
Ac8 0.875 0.250 0.625
H24 0.826 0.270 0.421
Ac9 0.375 0.125 0.750
H25 0.579 0.230 0.174
Ac10 0.500 0.000 0.500
Ac11 0.500 0.500 0.000
H26 0.349 0.579 0.405
Tm4 0.250 0.125 0.375
Ac12 0.000 0.500 0.000
Ac13 0.250 0.875 0.125
H27 0.444 0.270 0.349
Ac14 0.000 0.000 0.000
H28 0.421 0.651 0.095
H29 0.921 0.595 0.151
Tm5 0.750 0.375 0.125
H30 0.326 0.921 0.770
Tm6 0.875 0.750 0.125
H31 0.849 0.905 0.079
H32 0.770 0.421 0.326
H33 0.151 0.056 0.730
H34 0.056 0.905 0.326
Ac15 0.750 0.625 0.375
H35 0.174 0.444 0.095
Tm7 0.250 0.625 0.875
H36 0.151 0.095 0.921
Ac16 0.000 0.500 0.500
H37 0.595 0.921 0.651
H38 0.230 0.651 0.056
Ac17 0.750 0.125 0.875
H39 0.944 0.095 0.674
H40 0.921 0.326 0.270
H41 0.905 0.056 0.826
Tm8 0.750 0.875 0.625
Ac18 0.375 0.250 0.125
H42 0.056 0.151 0.230
Ac19 0.125 0.375 0.250
Tm9 0.875 0.125 0.250
H43 0.270 0.826 0.921
Tm10 0.125 0.875 0.750
Tm11 0.375 0.750 0.625
Ac20 0.125 0.750 0.375
Tm12 0.125 0.250 0.875
H44 0.444 0.174 0.595
H45 0.174 0.730 0.579
H46 0.595 0.674 0.444
H47 0.730 0.556 0.151
H48 0.405 0.079 0.349

***

Record 6
Compound: Ac2TmH
Source: Alexandria
Functional: PBE
Structure: optimized geometry

Computed properties:
energy above the most stable polymorph in this dataset: 23 meV/atom
space group: P4/mmm (123)

Unit cell a=3.687 b=3.687 c=8.950 alpha=90.00 beta=90.00 gamma=90.00
Positions (direct):
Ac1 0.000 0.000 0.800
Ac2 0.000 0.000 0.200
H1 0.500 0.500 0.000
Tm1 0.500 0.500 0.500

***

Record 7
Compound: AcTm2H
Source: Alexandria
Functional: PBE
Structure: optimized geometry

Computed properties:
space group: R-3m (166)
electronic total energy: -16.39 eV per formula unit

Unit cell a=3.568 b=3.568 c=9.922 alpha=79.64 beta=79.64 gamma=60.00
Positions (direct):
Ac1 0.000 0.000 0.000
Tm1 0.123 0.123 0.632
Tm2 0.877 0.877 0.368
H1 0.500 0.500 0.500

***

Record 8
Compound: Ac3TmH
Source: Alexandria
Functional: PBE
Structure: optimized geometry

Computed properties:
space group: Pm-3m (221)
electronic total energy: -20.63 eV per formula unit

Unit cell a=5.475 b=5.475 c=5.475 alpha=90.00 beta=90.00 gamma=90.00
Positions (direct):
Ac1 0.000 0.000 0.500
Ac2 0.500 0.000 0.000
Tm1 0.500 0.500 0.500
H1 0.000 0.000 0.000
Ac3 0.000 0.500 0.000

***

Record 9
Compound: AcTmH2
Source: Alexandria
Functional: PBE
Structure: optimized geometry

Computed properties:
space group: R-3m (166)
electronic total energy: -17.04 eV per formula unit

Unit cell a=3.721 b=3.721 c=6.705 alpha=73.89 beta=73.89 gamma=60.00
Positions (direct):
H1 0.868 0.868 0.397
H2 0.132 0.132 0.603
Tm1 0.500 0.500 0.500
Ac1 0.000 0.000 0.000

***

Record 10
Compound: Ac3Tm5H12
Source: Alexandria
Functional: PBE
Structure: optimized geometry

Computed properties:
space group: Ia-3d (230)
electronic total energy: -83.10 eV per formula unit

Unit cell a=11.745 b=11.745 c=11.745 alpha=109.47 beta=109.47 gamma=109.47
Positions (direct):
Tm1 0.500 0.000 0.000
H1 0.836 0.914 0.046
H2 0.336 0.546 0.414
Tm2 0.250 0.875 0.125
Ac1 0.375 0.750 0.625
H3 0.336 0.790 0.422
H4 0.586 0.954 0.664
H5 0.422 0.132 0.586
Ac2 0.875 0.125 0.250
Ac3 0.125 0.875 0.750
H6 0.454 0.664 0.086
Tm3 0.250 0.375 0.625
Tm4 0.875 0.250 0.625
H7 0.922 0.836 0.790
H8 0.414 0.046 0.336
H9 0.954 0.368 0.290
Ac4 0.250 0.625 0.875
Tm5 0.000 0.500 0.500
H10 0.210 0.546 0.632
H11 0.132 0.710 0.546
H12 0.164 0.078 0.710
Tm6 0.875 0.625 0.750
H13 0.546 0.210 0.132
H14 0.132 0.422 0.086
H15 0.868 0.290 0.454
Tm7 0.625 0.875 0.250
Tm8 0.375 0.125 0.750
Ac5 0.750 0.875 0.625
Ac6 0.625 0.375 0.750
H16 0.664 0.454 0.586
Ac7 0.875 0.750 0.125
H17 0.868 0.578 0.914
H18 0.914 0.836 0.546
H19 0.914 0.078 0.868
H20 0.578 0.710 0.664
H21 0.710 0.578 0.164
H22 0.086 0.922 0.132
H23 0.046 0.414 0.836
Ac8 0.250 0.125 0.375
H24 0.164 0.086 0.954
H25 0.086 0.164 0.454
Tm9 0.500 0.000 0.500
H26 0.586 0.632 0.422
Ac9 0.375 0.625 0.250
H27 0.954 0.586 0.164
H28 0.290 0.422 0.836
H29 0.454 0.790 0.868
Tm10 0.000 0.500 0.000
H30 0.922 0.086 0.632
Tm11 0.750 0.625 0.375
Tm12 0.500 0.500 0.000
H31 0.664 0.210 0.578
H32 0.210 0.664 0.078
Tm13 0.000 0.000 0.500
H33 0.632 0.586 0.922
H34 0.368 0.414 0.078
H35 0.422 0.290 0.336
H36 0.546 0.336 0.914
Ac10 0.125 0.250 0.875
Tm14 0.500 0.500 0.500
H37 0.290 0.868 0.954
H38 0.414 0.368 0.578
H39 0.368 0.954 0.790
Tm15 0.000 0.000 0.000
H40 0.578 0.868 0.414
H41 0.836 0.922 0.290
H42 0.790 0.454 0.368
H43 0.078 0.164 0.210
Tm16 0.625 0.750 0.875
H44 0.078 0.914 0.368
H45 0.632 0.046 0.210
Ac11 0.750 0.375 0.125
H46 0.790 0.336 0.922
Tm17 0.375 0.250 0.125
H47 0.046 0.632 0.710
Tm18 0.750 0.125 0.875
Tm19 0.125 0.375 0.250
Tm20 0.125 0.750 0.375
H48 0.710 0.132 0.046
Ac12 0.625 0.250 0.375

***

Record 11
Compound: Ac2TmH
Source: Alexandria
Functional: PBE
Structure: optimized geometry

Computed properties:
energy above the most stable polymorph in this dataset: 0 meV/atom
space group: R-3m (166)

Unit cell a=3.735 b=3.735 c=10.478 alpha=79.73 beta=79.73 gamma=60.00
Positions (direct):
H1 0.500 0.500 0.500
Ac1 0.885 0.885 0.344
Tm1 0.000 0.000 0.000
Ac2 0.115 0.115 0.656

***

Record 12
Compound: AcUH2
Source: Alexandria
Functional: PBE
Structure: optimized geometry

Computed properties:
space group: R-3m (166)
electronic total energy: -21.76 eV per formula unit

Unit cell a=3.869 b=3.869 c=6.676 alpha=73.16 beta=73.16 gamma=60.00
Each line ends with the local moment (μB).
Positions (direct):
H1 0.883 0.883 0.352  -0.01
U1 0.000 0.000 0.000  2.75
H2 0.117 0.117 0.648  -0.01
Ac1 0.500 0.500 0.500  0.02

***

Record 13
Compound: AcUH
Source: Alexandria
Functional: PBE
Structure: optimized geometry

Computed properties:
space group: Cmcm (63)
electronic total energy: -18.75 eV per formula unit

Unit cell a=3.617 b=3.615 c=10.214 alpha=79.81 beta=90.00 gamma=90.00
Positions (direct):
U1 0.750 0.772 0.455
H1 0.750 0.887 0.226
U2 0.250 0.228 0.545
H2 0.250 0.113 0.774
Ac1 0.250 0.409 0.183
Ac2 0.750 0.591 0.817

***

Record 14
Compound: AcVH2
Source: Alexandria
Functional: PBE
Structure: optimized geometry

Computed properties:
space group: R-3m (166)
electronic total energy: -19.72 eV per formula unit

Unit cell a=4.110 b=4.110 c=5.513 alpha=68.12 beta=68.12 gamma=60.00
Each line ends with the local moment (μB).
Positions (direct):
V1 0.000 0.000 0.000  2.57
H1 0.122 0.122 0.635  -0.01
H2 0.878 0.878 0.365  -0.01
Ac1 0.500 0.500 0.500  0.05

***

Record 15
Compound: AcVH6
Source: Alexandria
Functional: PBE
Structure: optimized geometry

Computed properties:
space group: C2/m (12)
electronic total energy: -34.78 eV per formula unit

Unit cell a=4.435 b=4.435 c=4.450 alpha=96.92 beta=96.92 gamma=97.08
Each line ends with the local moment (μB).
Positions (direct):
Ac1 0.500 0.500 0.500  0.01
H1 0.292 0.292 0.943  -0.01
H2 0.058 0.710 0.709  -0.01
H3 0.708 0.708 0.057  -0.01
H4 0.710 0.058 0.709  -0.01
V1 0.000 0.000 0.000  1.74
H5 0.290 0.942 0.291  -0.01
H6 0.942 0.290 0.291  -0.01

***

Record 16
Compound: AcVH
Source: Alexandria
Functional: PBE
Structure: optimized geometry

Computed properties:
space group: P2_1/m (11)
electronic total energy: -16.15 eV per formula unit

Unit cell a=3.458 b=3.444 c=11.642 alpha=90.02 beta=126.47 gamma=90.00
Positions (direct):
H1 0.932 0.751 0.091
V1 0.668 0.750 0.459
Ac1 0.630 0.251 0.190
Ac2 0.370 0.749 0.810
H2 0.068 0.249 0.909
V2 0.332 0.250 0.541

***

Record 17
Compound: AcV2H8
Source: Alexandria
Functional: PBE
Structure: optimized geometry

Computed properties:
space group: Amm2 (38)
electronic total energy: -52.68 eV per formula unit

Unit cell a=4.904 b=4.700 c=4.700 alpha=122.51 beta=89.99 gamma=89.99
Positions (direct):
H1 0.854 0.591 0.061
H2 0.591 0.047 0.276
H3 0.854 0.061 0.591
H4 0.328 0.591 0.061
H5 0.328 0.061 0.591
H6 0.368 0.573 0.573
V1 0.591 0.380 0.740
H7 0.591 0.276 0.047
H8 0.814 0.573 0.573
V2 0.591 0.740 0.380
Ac1 0.091 0.074 0.074

***

Record 18
Compound: AcH8W2
Source: Alexandria
Functional: PBE
Structure: optimized geometry

Computed properties:
space group: P1 (1)
electronic total energy: -57.65 eV per formula unit

Unit cell a=5.048 b=4.841 c=4.814 alpha=118.42 beta=88.22 gamma=88.04
Positions (direct):
W1 0.569 0.649 0.344
H1 0.918 0.245 0.641
H2 0.337 0.567 0.016
H3 0.632 0.999 0.265
H4 0.917 0.639 0.246
H5 0.622 0.260 0.001
Ac1 0.078 0.040 0.038
H6 0.286 0.499 0.498
W2 0.571 0.346 0.650
H7 0.734 0.706 0.707
H8 0.338 0.016 0.560